# ReSiP

ReSiP after structural relaxation (PBEsol, Alexandria via LeMat-Bulk). Values from VASP.

The structure in Quantum ESPRESSO input format:
```
&SYSTEM
  ibrav = 0, nat = 3, ntyp = 3
/
ATOMIC_SPECIES
Re 186.21 Re.upf
Si 28.09 Si.upf
P 30.97 P.upf
CELL_PARAMETERS angstrom
0.000 2.857 2.857
2.857 0.000 2.857
2.857 2.857 0.000
ATOMIC_POSITIONS crystal
Re 0.000 0.000 0.000
Si 0.750 0.750 0.750
P 0.250 0.250 0.250
```

Properties
Uncorrected formation energy   0.57 eV per formula unit